A relaxed structure of Y2ZrTc. Source: Alexandria via LeMat-Bulk, functional PBE.

extended XYZ file:
```
4
Lattice="10.0216 -0.0027 -0.0016 9.4566 3.3174 -0.0016 9.4566 1.6092 2.9009" Properties=species:S:1:pos:R:3 pbc="T T T"
Tc 21.7011 3.6929 2.1733
Y 0.3631 0.0618 0.0364
Y 14.1043 2.4001 1.4125
Zr 7.2337 1.2310 0.7244
```

Results
Space group: R-3m
Polymorph energy (0 for the lowest one), eV/atom: 0.3410
Formation energy, eV per atom: 0.27